[1]
Below is a relaxed structure of FeRh, with properties calculated at the GGA-PBE level. Values from VASP.

Properties
- symmetry = No. 87
- density of states at the Fermi level (states/eV per atom) = 1.37
- DFT formation energy (eV/atom) = 0.31
- calculated total energy (eV per atom) = -7.60

Quantum ESPRESSO input file:
```
&SYSTEM
  ibrav = 0, nat = 8, ntyp = 2
/
ATOMIC_SPECIES
Fe 55.84 Fe.upf
Rh 102.91 Rh.upf
CELL_PARAMETERS angstrom
-4.5611 4.5611 1.3429
4.5611 -4.5611 1.3429
4.5611 4.5611 -1.3429
ATOMIC_POSITIONS crystal
Fe 0.0967 0.3739 0.4706
Fe 0.3739 0.9033 0.2772
Fe 0.6261 0.0967 0.7228
Fe 0.9033 0.6261 0.5294
Rh 0.1077 0.8285 0.9363
Rh 0.1715 0.1077 0.2792
Rh 0.8285 0.8923 0.7208
Rh 0.8923 0.1715 0.0637
```



[2]
Below is a relaxed structure of Fe3Rh2, with properties calculated at the GGA-PBE level. Values from VASP.

Properties
- symmetry = No. 69
- density of states at the Fermi level (states/eV per atom) = 1.24
- DFT formation energy (eV/atom) = 0.11
- calculated total energy (eV per atom) = -7.91

Quantum ESPRESSO input file:
```
&SYSTEM
  ibrav = 0, nat = 5, ntyp = 2
/
ATOMIC_SPECIES
Fe 55.84 Fe.upf
Rh 102.91 Rh.upf
CELL_PARAMETERS angstrom
0.0000 2.1993 10.5536
1.4151 0.0000 10.5536
1.4151 2.1993 0.0000
ATOMIC_POSITIONS crystal
Fe 0.0000 0.0000 0.0000
Fe 0.4062 0.4062 0.5938
Fe 0.5938 0.5938 0.4062
Rh 0.1935 0.1935 0.8065
Rh 0.8065 0.8065 0.1935
```



[3]
Below is a relaxed structure of FeRh, with properties calculated at the GGA-PBE level. Values from VASP.

Properties
- symmetry = No. 6
- density of states at the Fermi level (states/eV per atom) = 1.14
- DFT formation energy (eV/atom) = 0.02
- calculated total energy (eV per atom) = -7.89

Quantum ESPRESSO input file:
```
&SYSTEM
  ibrav = 0, nat = 6, ntyp = 2
/
ATOMIC_SPECIES
Fe 55.84 Fe.upf
Rh 102.91 Rh.upf
CELL_PARAMETERS angstrom
4.5273 0.0000 0.0000
0.0000 2.7518 0.0000
-0.8082 0.0000 6.4280
ATOMIC_POSITIONS crystal
Fe 0.0000 0.0000 0.0000
Fe 0.0699 0.5000 0.3208
Fe 0.5748 0.0000 0.3342
Rh 0.2766 0.0000 0.6498
Rh 0.4986 0.5000 0.0095
Rh 0.7802 0.5000 0.6637
```